! PuAl2Ni | Alexandria | PBE-GGA | relaxed; values from VASP
&SYSTEM
  ibrav = 0, nat = 32, ntyp = 3
/
ATOMIC_SPECIES
Pu 244.00 Pu.upf
Al 26.98 Al.upf
Ni 58.69 Ni.upf
CELL_PARAMETERS angstrom
-3.535 3.900 -0.347
-5.091 -4.527 0.987
0.972 2.243 15.305
ATOMIC_POSITIONS angstrom
Pu -2.712 0.918 2.227
Pu -6.810 1.101 5.930
Pu -4.943 0.699 13.718
Pu -0.845 0.516 10.015
Pu -3.544 2.675 5.991
Pu -4.598 -2.178 2.301
Pu -4.111 -1.058 9.954
Pu -3.056 3.795 13.644
Al -3.398 3.902 2.983
Al -6.095 -1.914 5.176
Al -2.265 -0.515 12.576
Al -3.551 1.761 11.154
Al -4.256 -2.285 12.962
Al -1.560 3.531 10.768
Al -5.389 2.132 3.369
Al -4.104 -0.144 4.790
Al -5.465 0.534 0.868
Al -2.733 0.025 7.418
Al -0.196 2.855 14.690
Al -6.914 -0.181 8.913
Al -2.189 1.083 15.077
Al -4.921 1.592 8.526
Al -7.458 -1.238 1.254
Al -0.740 1.798 7.032
Ni -1.720 0.424 5.075
Ni -6.170 -0.205 3.242
Ni -5.935 1.193 10.870
Ni -1.485 1.822 12.702
Ni -4.667 2.850 0.998
Ni -5.098 -0.562 7.135
Ni -2.988 -1.233 14.947
Ni -2.557 2.179 8.810
! Formation energy in eV/atom: -0.396
! Calculated volume in Å³ per cell: 563
! Space group: Pnma, No. 62